Entry 1:
{"formula": "La2Pm3Y6Sc", "functional": "PBE", "state": "optimized geometry", "dos_ef_per_ev_cell": 15.739, "density_g_cm3": 5.46, "delta_e_f_ev_per_atom": 0.02, "m_tot_mub_per_cell": 0.0, "lattice_angstrom": [[6.2270, -0.0014, 0.0038], [-3.1132, 5.3929, 0.0038], [-1.0436, -1.8071, 11.6971]], "species": ["Y", "Y", "Y", "Y", "Y", "Y", "Pm", "Pm", "Pm", "Sc", "La", "La"], "frac_coords": [[0.2473, 0.2473, 0.7500], [0.9174, 0.5876, 0.7506], [0.4124, 0.0826, 0.2494], [0.0826, 0.4124, 0.2494], [0.7527, 0.7527, 0.2500], [0.5876, 0.9174, 0.7506], [0.8333, 0.1667, 0.5000], [0.5000, 0.5000, 0.5000], [0.1667, 0.8333, 0.5000], [0.0000, 0.0000, 0.0000], [0.6659, 0.3341, 0.0000], [0.3341, 0.6659, 0.0000]]}

---

Entry 2:
{"formula": "La2Pm4YSc", "functional": "PBE", "state": "optimized geometry", "dos_ef_per_ev_cell": 14.332, "density_g_cm3": 6.16, "delta_e_f_ev_per_atom": 0.04, "m_tot_mub_per_cell": 0.0, "lattice_angstrom": [[5.1080, 0.0000, 0.0000], [0.0000, 5.0219, 0.8248], [0.0001, 3.3647, 10.9796]], "species": ["La", "La", "Y", "Pm", "Pm", "Pm", "Pm", "Sc"], "frac_coords": [[0.5000, 0.0000, 0.5000], [0.0000, 0.0000, 0.0000], [0.5000, 0.5000, 0.0000], [0.0000, 0.7555, 0.7448], [0.5000, 0.7452, 0.2550], [0.0000, 0.2445, 0.2552], [0.5000, 0.2548, 0.7450], [0.0000, 0.5000, 0.5000]]}

---

Entry 3:
{"formula": "LaPm5Y2Sc", "functional": "PBE", "state": "optimized geometry", "dos_ef_per_ev_cell": 28.733, "density_g_cm3": 5.99, "delta_e_f_ev_per_atom": 0.16, "m_tot_mub_per_cell": 0.0, "lattice_angstrom": [[5.7033, 0.0000, 0.0000], [-2.8517, 10.0288, 0.0000], [0.0000, 0.0000, 10.5261]], "species": ["Pm", "Pm", "Pm", "Pm", "Pm", "Pm", "Pm", "Pm", "Pm", "Pm", "La", "La", "Y", "Y", "Y", "Y", "Sc", "Sc"], "frac_coords": [[0.6241, 0.2483, 0.5185], [0.7023, 0.4046, 0.2054], [0.3759, 0.7517, 0.0185], [0.9805, 0.9610, 0.5194], [0.2778, 0.5557, 0.3218], [0.7222, 0.4443, 0.8218], [0.4853, 0.9705, 0.7414], [0.5147, 0.0295, 0.2414], [0.0195, 0.0390, 0.0194], [0.2977, 0.5954, 0.7054], [0.4140, 0.8281, 0.4573], [0.5860, 0.1719, 0.9573], [0.8881, 0.7762, 0.8136], [0.1154, 0.2308, 0.7331], [0.8846, 0.7692, 0.2331], [0.1119, 0.2238, 0.3136], [0.8031, 0.6062, 0.5134], [0.1969, 0.3938, 0.0134]]}

---

Entry 4:
{"formula": "La4PmY2Sc", "functional": "PBE", "state": "optimized geometry", "dos_ef_per_ev_cell": 13.357, "density_g_cm3": 5.64, "delta_e_f_ev_per_atom": 0.08, "m_tot_mub_per_cell": 0.0, "lattice_angstrom": [[-4.3837, -2.6003, -3.0193], [4.7373, -8.5097, 0.4505], [-0.4399, -4.1471, 4.2101]], "species": ["La", "La", "La", "La", "Y", "Y", "Pm", "Sc"], "frac_coords": [[0.5000, 0.2602, 0.7400], [0.0000, 0.2582, 0.2420], [0.0000, 0.7418, 0.7580], [0.5000, 0.7398, 0.2600], [0.5000, 0.0000, 0.5000], [0.0000, 0.0000, 0.0000], [0.5000, 0.5000, 0.0000], [0.0000, 0.5000, 0.5000]]}